(1)
{"formula": "YHgSb2", "functional": "PBE", "state": "relaxed", "magnetic_moment_mub_per_cell": 0.00, "vol_a3_per_atom": 27.82, "e_form_raw_ev_per_atom": -0.21, "cell": [[3.366, 0.000, 0.000], [0.000, 3.366, 0.000], [0.000, 0.000, 9.822]], "species": ["Y", "Hg", "Sb", "Sb"], "fractional_positions": [[0.000, 0.000, 0.000], [0.500, 0.500, 0.222], [0.000, 0.000, 0.450], [0.500, 0.500, 0.778]]}



(2)
{"formula": "YHgSb2", "functional": "PBE", "state": "relaxed", "magnetic_moment_mub_per_cell": 0.00, "vol_a3_per_atom": 27.28, "e_form_raw_ev_per_atom": -0.21, "cell": [[0.000, 3.793, 3.793], [3.793, 0.000, 3.793], [3.793, 3.793, 0.000]], "species": ["Y", "Hg", "Sb", "Sb"], "fractional_positions": [[0.000, 0.000, 0.000], [0.500, 0.500, 0.500], [0.250, 0.250, 0.250], [0.750, 0.750, 0.750]]}



(3)
{"formula": "Y2Hg2Sb", "functional": "PBE", "state": "relaxed", "magnetic_moment_mub_per_cell": 0.00, "vol_a3_per_atom": 28.07, "e_form_raw_ev_per_atom": -0.41, "cell": [[-2.020, 2.020, 8.599], [2.020, -2.020, 8.599], [2.020, 2.020, -8.599]], "species": ["Y", "Y", "Hg", "Hg", "Sb"], "fractional_positions": [[0.099, 0.099, 0.000], [0.901, 0.901, 0.000], [0.250, 0.750, 0.500], [0.750, 0.250, 0.500], [0.500, 0.500, 0.000]]}



(4)
{"formula": "YHg3Sb", "functional": "PBE", "state": "relaxed", "magnetic_moment_mub_per_cell": 0.00, "vol_a3_per_atom": 37.58, "e_form_raw_ev_per_atom": 0.52, "cell": [[5.728, 0.000, 0.000], [0.000, 5.728, 0.000], [0.000, 0.000, 5.728]], "species": ["Y", "Hg", "Hg", "Hg", "Sb"], "fractional_positions": [[0.000, 0.000, 0.000], [0.000, 0.000, 0.500], [0.000, 0.500, 0.000], [0.500, 0.000, 0.000], [0.500, 0.500, 0.500]]}



(5)
{"formula": "YHgSb", "functional": "PBE", "state": "relaxed", "magnetic_moment_mub_per_cell": 0.00, "vol_a3_per_atom": 27.31, "e_form_raw_ev_per_atom": -0.50, "cell": [[-2.099, 2.099, 4.648], [2.099, -2.099, 4.648], [2.099, 2.099, -4.648]], "species": ["Y", "Hg", "Sb"], "fractional_positions": [[0.000, 0.000, 0.000], [0.323, 0.323, 0.000], [0.646, 0.646, 0.000]]}



(6)
{"formula": "YHgSb", "functional": "PBE", "state": "relaxed", "magnetic_moment_mub_per_cell": 0.00, "vol_a3_per_atom": 31.61, "e_form_raw_ev_per_atom": -0.53, "cell": [[0.000, 3.620, 3.620], [3.620, 0.000, 3.620], [3.620, 3.620, 0.000]], "species": ["Y", "Hg", "Sb"], "fractional_positions": [[0.000, 0.000, 0.000], [0.250, 0.250, 0.250], [0.750, 0.750, 0.750]]}



(7)
{"formula": "YHgSb2", "functional": "PBE", "state": "relaxed", "magnetic_moment_mub_per_cell": 0.00, "vol_a3_per_atom": 29.06, "e_form_raw_ev_per_atom": -0.18, "cell": [[2.033, 1.174, 8.115], [-2.033, 1.174, 8.115], [0.000, -2.348, 8.115]], "species": ["Y", "Hg", "Sb", "Sb"], "fractional_positions": [[0.000, 0.000, 0.000], [0.751, 0.751, 0.751], [0.249, 0.249, 0.249], [0.501, 0.501, 0.501]]}



(8)
{"formula": "YHgSb2", "functional": "PBE", "state": "relaxed", "magnetic_moment_mub_per_cell": 0.00, "vol_a3_per_atom": 28.19, "e_form_raw_ev_per_atom": -0.28, "cell": [[-4.140, 4.140, 3.290], [4.140, -4.140, 3.290], [4.140, 4.140, -3.290]], "species": ["Y", "Y", "Hg", "Hg", "Sb", "Sb", "Sb", "Sb"], "fractional_positions": [[0.000, 0.000, 0.000], [0.750, 0.250, 0.500], [0.250, 0.750, 0.500], [0.500, 0.500, 0.000], [0.141, 0.125, 0.516], [0.375, 0.859, 0.984], [0.609, 0.625, 0.484], [0.875, 0.391, 0.016]]}



(9)
{"formula": "YHgSb", "functional": "PBE", "state": "relaxed", "magnetic_moment_mub_per_cell": 0.00, "vol_a3_per_atom": 27.74, "e_form_raw_ev_per_atom": -0.56, "cell": [[4.635, 0.000, 0.000], [-2.317, 4.014, 0.000], [0.000, 0.000, 4.472]], "species": ["Y", "Hg", "Sb"], "fractional_positions": [[0.000, 0.000, 0.000], [0.667, 0.333, 0.310], [0.333, 0.667, 0.612]]}



(10)
{"formula": "YHgSb2", "functional": "PBE", "state": "relaxed", "magnetic_moment_mub_per_cell": 0.00, "vol_a3_per_atom": 25.90, "e_form_raw_ev_per_atom": -0.44, "cell": [[4.970, 0.000, 0.000], [0.000, 4.970, 0.000], [0.000, 0.000, 4.194]], "species": ["Y", "Hg", "Sb", "Sb"], "fractional_positions": [[0.000, 0.000, 0.000], [0.500, 0.500, 0.000], [0.000, 0.500, 0.500], [0.500, 0.000, 0.500]]}



(11)
{"formula": "Y2Hg2Sb", "functional": "PBE", "state": "relaxed", "magnetic_moment_mub_per_cell": 0.00, "vol_a3_per_atom": 28.61, "e_form_raw_ev_per_atom": -0.45, "cell": [[8.010, 0.000, 0.000], [0.000, 8.010, 0.000], [0.000, 0.000, 4.458]], "species": ["Y", "Y", "Y", "Y", "Hg", "Hg", "Hg", "Hg", "Sb", "Sb"], "fractional_positions": [[0.162, 0.338, 0.000], [0.338, 0.838, 0.000], [0.662, 0.162, 0.000], [0.838, 0.662, 0.000], [0.140, 0.640, 0.500], [0.360, 0.140, 0.500], [0.640, 0.860, 0.500], [0.860, 0.360, 0.500], [0.000, 0.000, 0.000], [0.500, 0.500, 0.000]]}



(12)
{"formula": "YHgSb2", "functional": "PBE", "state": "relaxed", "magnetic_moment_mub_per_cell": 0.00, "vol_a3_per_atom": 26.13, "e_form_raw_ev_per_atom": -0.47, "cell": [[-2.325, 2.325, 4.832], [2.325, -2.325, 4.832], [2.325, 2.325, -4.832]], "species": ["Y", "Hg", "Sb", "Sb"], "fractional_positions": [[0.000, 0.000, 0.000], [0.500, 0.500, 0.000], [0.250, 0.750, 0.500], [0.750, 0.250, 0.500]]}



| no. | excess energy over the best structure of this formula in the dataset (meV per atom) |
| --- | --- |
| 1 | 275 |
| 2 | 273 |
| 3 | 86 |
| 4 | 111 |
| 5 | 57 |
| 6 | 31 |
| 7 | 305 |
| 8 | 200 |
| 9 | 0 |
| 10 | 38 |
| 11 | 46 |
| 12 | 10 |